The following is a GGA-PBE calculation of a relaxed structure of Pm4TmTh, from Alexandria via LeMat-Bulk.

Cell: 11.680 11.943 3.440 Å, 90.00 90.00 90.00°
Space group Cmmm (No. 65)
Inequivalent atoms, fractional coordinates:
Pm 0.000 0.233 0.000
Pm 0.238 0.500 0.500
Tm 0.000 0.000 0.500
Th 0.000 0.500 0.000

Computed properties:
spin magnetization = 0.00 μB per formula unit
ΔE_f = 642 meV per atom
N(E_F) = 1.77 states/eV per atom

The following is a GGA-PBE calculation of a relaxed structure of ScTi2HgH, from Alexandria via LeMat-Bulk.

Cell: 4.186 4.186 4.372 Å, 90.00 90.00 90.00°
Space group P4/mmm (No. 123)
Inequivalent atoms, fractional coordinates:
Sc 0.000 0.000 0.000
Ti 0.000 0.500 0.500
Hg 0.500 0.500 0.000
H 0.000 0.000 0.500

Computed properties:
spin magnetization = 0.00 μB per formula unit
N(E_F) = 1.02 states/eV per atom
total DFT energy (no corrections) = -26.89 eV/f.u.